Compound: Tc2Pt
Source: the Open Quantum Materials Database
Functional: PBE
Structure: optimized geometry

Lattice parameters (Å, degrees): 5.0811 5.0811 5.0811 60.00 60.00 60.00
Positions (direct):
Tc 0.0000 0.0000 0.0000
Tc 0.0000 0.0000 0.5000
Tc 0.0000 0.5000 0.0000
Tc 0.5000 0.0000 0.0000
Pt 0.3750 0.3750 0.3750
Pt 0.6250 0.6250 0.6250

Output
Its symmetry is No. 227. The energy of formation from the pure elements is 0.301 eV/atom.